(1)
ZnCuP2 after structural relaxation. Source: Alexandria, functional PBE.

Computed properties:
Energy of formation   0.33 eV per atom
Space-group type   P4mm, No. 99

Unit cell a=2.599 b=2.599 c=9.059 alpha=90.00 beta=90.00 gamma=90.00
Positions (direct):
Cu 0.500 0.500 0.737
P 0.000 0.000 0.940
P 0.500 0.500 0.301
Zn 0.000 0.000 0.522

(2)
SmHfGe after structural relaxation. Source: Alexandria, functional PBE.

Computed properties:
Energy of formation   -0.20 eV per atom
Space-group type   P3m1, No. 156

Unit cell a=3.973 b=4.633 c=4.633 alpha=120.00 beta=90.00 gamma=90.00
Positions (direct):
Sm 0.645 0.667 0.333
Hf 0.138 0.000 0.000
Ge 0.217 0.333 0.667

(3)
Mg3Cd2Pd2 after structural relaxation. Source: Alexandria, functional PBE.

Computed properties:
Energy of formation   -0.40 eV per atom
Space-group type   C2/m, No. 12

Unit cell a=4.043 b=5.256 c=7.315 alpha=107.55 beta=90.00 gamma=112.62
Positions (direct):
Mg 0.500 0.000 0.000
Mg 0.633 0.265 0.433
Mg 0.367 0.735 0.567
Cd 0.877 0.754 0.224
Cd 0.123 0.246 0.776
Pd 0.832 0.665 0.801
Pd 0.168 0.335 0.199

(4)
TlNi2HRh after structural relaxation. Source: Alexandria, functional PBE.

Computed properties:
Space-group type   P4/mmm, No. 123
Energy   -24.4 eV per cell

Unit cell a=3.919 b=3.919 c=3.906 alpha=90.00 beta=90.00 gamma=90.00
Positions (direct):
Ni 0.000 0.500 0.000
Ni 0.500 0.000 0.000
Rh 0.000 0.000 0.500
H 0.000 0.000 0.000
Tl 0.500 0.500 0.500

(5)
YTl3Ag after structural relaxation. Source: Alexandria, functional PBE.

Computed properties:
Energy of formation   0.30 eV per atom
Space-group type   Pm-3m, No. 221

Unit cell a=5.395 b=5.395 c=5.395 alpha=90.00 beta=90.00 gamma=90.00
Positions (direct):
Tl 0.000 0.000 0.500
Tl 0.000 0.500 0.000
Tl 0.500 0.000 0.000
Ag 0.000 0.000 0.000
Y 0.500 0.500 0.500

(6)
Li2GaPt after structural relaxation. Source: Alexandria, functional PBE.

Computed properties:
Energy of formation   -0.57 eV per atom
Space-group type   P4/mmm, No. 123

Unit cell a=4.081 b=3.737 c=3.737 alpha=90.00 beta=90.00 gamma=90.00
Positions (direct):
Ga 0.500 0.500 0.500
Pt 0.500 0.000 0.000
Li 0.000 0.500 0.000
Li 0.000 0.000 0.500

- Number 2 is which compound?
  SmHfGe